(1)
{
  "formula": "ThSc2IrO8",
  "functional": "GGA-PBE",
  "state": "relaxed",
  "e_form_raw_mev_per_atom": -2527,
  "space_group": "Cmmm, No. 65",
  "cell": [[3.453, -3.468, 0.000], [3.453, 3.468, 0.000], [0.000, 0.000, 6.644]],
  "species": ["Th", "Sc", "Sc", "Ir", "O", "O", "O", "O", "O", "O", "O", "O"],
  "frac_coords": [[0.000, 0.000, 0.000], [0.500, 0.500, 0.251], [0.500, 0.500, 0.749], [0.000, 0.000, 0.500], [0.198, 0.198, 0.287], [0.198, 0.198, 0.713], [0.280, 0.720, 0.500], [0.320, 0.680, 0.000], [0.680, 0.320, 0.000], [0.720, 0.280, 0.500], [0.802, 0.802, 0.287], [0.802, 0.802, 0.713]]
}


(2)
{
  "formula": "CeDy4Se6",
  "functional": "GGA-PBE",
  "state": "relaxed",
  "e_form_raw_mev_per_atom": -1825,
  "space_group": "Cmcm, No. 63",
  "cell": [[2.025, -6.711, 0.000], [2.025, 6.711, 0.000], [0.000, 0.000, 20.726]],
  "species": ["Ce", "Ce", "Dy", "Dy", "Dy", "Dy", "Dy", "Dy", "Dy", "Dy", "Se", "Se", "Se", "Se", "Se", "Se", "Se", "Se", "Se", "Se", "Se", "Se"],
  "frac_coords": [[0.156, 0.844, 0.750], [0.844, 0.156, 0.250], [0.091, 0.909, 0.126], [0.091, 0.909, 0.374], [0.359, 0.641, 0.039], [0.359, 0.641, 0.461], [0.641, 0.359, 0.539], [0.641, 0.359, 0.961], [0.909, 0.091, 0.626], [0.909, 0.091, 0.874], [0.000, 0.000, 0.000], [0.000, 0.000, 0.500], [0.182, 0.818, 0.250], [0.268, 0.732, 0.591], [0.268, 0.732, 0.909], [0.452, 0.548, 0.165], [0.452, 0.548, 0.335], [0.548, 0.452, 0.665], [0.548, 0.452, 0.835], [0.732, 0.268, 0.091], [0.732, 0.268, 0.409], [0.818, 0.182, 0.750]]
}


(3)
{
  "formula": "Y2InGe",
  "functional": "GGA-PBE",
  "state": "relaxed",
  "space_group": "R-3m, No. 166",
  "delta_e_f_ev_per_atom": -0.51,
  "cell": [[2.436, 1.407, 5.065], [-2.436, 1.407, 5.065], [0.000, -2.813, 5.065]],
  "species": ["Y", "Y", "In", "Ge"],
  "frac_coords": [[0.242, 0.242, 0.242], [0.758, 0.758, 0.758], [0.000, 0.000, 0.000], [0.500, 0.500, 0.500]]
}


(4)
{
  "formula": "Al3ZnPd6",
  "functional": "GGA-PBE",
  "state": "relaxed",
  "space_group": "P2_1/m, No. 11",
  "delta_e_f_ev_per_atom": -0.73,
  "cell": [[7.367, 0.000, 0.000], [0.000, 4.431, 0.000], [-3.328, 0.000, 8.996]],
  "species": ["Al", "Al", "Al", "Al", "Al", "Al", "Zn", "Zn", "Pd", "Pd", "Pd", "Pd", "Pd", "Pd", "Pd", "Pd", "Pd", "Pd", "Pd", "Pd"],
  "frac_coords": [[0.034, 0.250, 0.383], [0.128, 0.750, 0.214], [0.286, 0.250, 0.983], [0.714, 0.750, 0.017], [0.872, 0.250, 0.786], [0.966, 0.750, 0.617], [0.453, 0.250, 0.591], [0.547, 0.750, 0.409], [0.031, 0.750, 0.918], [0.153, 0.250, 0.681], [0.244, 0.750, 0.501], [0.339, 0.250, 0.302], [0.354, 0.750, 0.824], [0.410, 0.750, 0.125], [0.590, 0.250, 0.875], [0.646, 0.250, 0.176], [0.661, 0.750, 0.698], [0.756, 0.250, 0.499], [0.847, 0.750, 0.319], [0.969, 0.250, 0.082]]
}


(5)
{
  "formula": "MgNp2F8",
  "functional": "GGA-PBE",
  "state": "relaxed",
  "e_form_raw_mev_per_atom": -3399,
  "space_group": "C2/m, No. 12",
  "cell": [[5.719, -2.507, 0.000], [5.719, 2.507, 0.000], [-2.239, 0.000, 5.709]],
  "species": ["Mg", "Np", "Np", "F", "F", "F", "F", "F", "F", "F", "F"],
  "frac_coords": [[0.000, 0.000, 0.000], [0.198, 0.198, 0.715], [0.802, 0.802, 0.285], [0.038, 0.038, 0.337], [0.113, 0.613, 0.994], [0.302, 0.302, 0.439], [0.387, 0.887, 0.006], [0.613, 0.113, 0.994], [0.698, 0.698, 0.561], [0.887, 0.387, 0.006], [0.962, 0.962, 0.663]]
}


(6)
{
  "formula": "AlHgAu4",
  "functional": "GGA-PBE",
  "state": "relaxed",
  "space_group": "C2/m, No. 12",
  "delta_e_f_ev_per_atom": -0.09,
  "cell": [[3.396, -2.272, 0.000], [3.396, 2.272, 0.000], [-2.187, 0.000, 7.994]],
  "species": ["Al", "Hg", "Au", "Au", "Au", "Au"],
  "frac_coords": [[0.000, 0.000, 0.000], [0.500, 0.500, 0.500], [0.088, 0.088, 0.322], [0.316, 0.316, 0.871], [0.684, 0.684, 0.129], [0.912, 0.912, 0.678]]
}


(7)
{
  "formula": "Sm3Si2Ni9Ge",
  "functional": "GGA-PBE",
  "state": "relaxed",
  "e_form_raw_mev_per_atom": -312,
  "space_group": "P-3m1, No. 164",
  "cell": [[5.931, 0.000, 0.000], [-2.966, 5.136, 0.000], [0.000, 0.000, 8.253]],
  "species": ["Sm", "Sm", "Sm", "Si", "Si", "Ni", "Ni", "Ni", "Ni", "Ni", "Ni", "Ni", "Ni", "Ni", "Ge"],
  "frac_coords": [[0.000, 0.000, 0.000], [0.333, 0.667, 0.662], [0.667, 0.333, 0.338], [0.333, 0.667, 0.179], [0.667, 0.333, 0.821], [0.000, 0.500, 0.000], [0.141, 0.281, 0.282], [0.141, 0.859, 0.282], [0.281, 0.141, 0.718], [0.500, 0.000, 0.000], [0.500, 0.500, 0.000], [0.719, 0.859, 0.282], [0.859, 0.141, 0.718], [0.859, 0.719, 0.718], [0.000, 0.000, 0.500]]
}


(8)
{
  "formula": "Dy4Tl",
  "functional": "GGA-PBE",
  "state": "relaxed",
  "space_group": "Pm-3m, No. 221",
  "delta_e_f_ev_per_atom": 0.44,
  "cell": [[5.737, 0.000, 0.000], [0.000, 5.737, 0.000], [0.000, 0.000, 5.737]],
  "species": ["Dy", "Dy", "Dy", "Dy", "Tl"],
  "frac_coords": [[0.000, 0.000, 0.000], [0.000, 0.500, 0.500], [0.500, 0.000, 0.500], [0.500, 0.500, 0.000], [0.500, 0.500, 0.500]]
}


(9)
{
  "formula": "NbBSbI2",
  "functional": "GGA-PBE",
  "state": "relaxed",
  "e_form_raw_mev_per_atom": 1227,
  "space_group": "P4/mmm, No. 123",
  "cell": [[5.563, 0.000, 0.000], [0.000, 5.563, 0.000], [0.000, 0.000, 5.459]],
  "species": ["Nb", "B", "Sb", "I", "I"],
  "frac_coords": [[0.000, 0.000, 0.000], [0.500, 0.500, 0.500], [0.000, 0.000, 0.500], [0.000, 0.500, 0.000], [0.500, 0.000, 0.000]]
}


(10)
{
  "formula": "Tl2CrCu",
  "functional": "GGA-PBE",
  "state": "relaxed",
  "space_group": "R-3m, No. 166",
  "delta_e_f_ev_per_atom": 0.55,
  "cell": [[1.692, 0.977, 8.512], [-1.692, 0.977, 8.512], [0.000, -1.954, 8.512]],
  "species": ["Tl", "Tl", "Cr", "Cu"],
  "frac_coords": [[0.245, 0.245, 0.245], [0.755, 0.755, 0.755], [0.000, 0.000, 0.000], [0.500, 0.500, 0.500]]
}


(11)
{
  "formula": "ZrAgSeBr2",
  "functional": "GGA-PBE",
  "state": "relaxed",
  "e_form_raw_mev_per_atom": -508,
  "space_group": "P4/mmm, No. 123",
  "cell": [[5.350, 0.000, 0.000], [0.000, 5.350, 0.000], [0.000, 0.000, 5.214]],
  "species": ["Zr", "Ag", "Se", "Br", "Br"],
  "frac_coords": [[0.000, 0.000, 0.000], [0.500, 0.500, 0.500], [0.000, 0.000, 0.500], [0.000, 0.500, 0.000], [0.500, 0.000, 0.000]]
}


> Number 3 is which compound?

Y2InGe


What did the third record say?
{
  "formula": "Y2InGe",
  "functional": "GGA-PBE",
  "state": "relaxed",
  "space_group": "R-3m, No. 166",
  "delta_e_f_ev_per_atom": -0.51,
  "cell": [[2.436, 1.407, 5.065], [-2.436, 1.407, 5.065], [0.000, -2.813, 5.065]],
  "species": ["Y", "Y", "In", "Ge"],
  "frac_coords": [[0.242, 0.242, 0.242], [0.758, 0.758, 0.758], [0.000, 0.000, 0.000], [0.500, 0.500, 0.500]]
}